# 1
A plane-wave DFT calculation with GGA-PBE was carried out for a relaxed structure of AcLaGeSe.

Output
Its energy relative to the elements, uncorrected is -1.398 eV per atom. Its total magnetization is 0.0 Bohr magnetons per cell.

Cell: 4.485 4.485 7.754 Å, 73.19 73.19 60.00°
Atoms (fractional coordinates):
Ac  0.691  0.691  0.928
La  0.198  0.198  0.407
Ge  0.941  0.941  0.178
Se  0.447  0.447  0.658

# 2
A plane-wave DFT calculation with GGA-PBE was carried out for a relaxed structure of Pm2Er6Tl.

Output
The formation energy comes out at 0.01 eV per formula unit. Its total magnetization is 0.0 Bohr magnetons per cell.

Cell: 3.487 10.133 9.555 Å, 122.02 100.47 90.00°
Atoms (fractional coordinates):
Pm  0.153  0.653  0.306
Pm  0.847  0.347  0.694
Er  0.177  0.340  0.354
Er  0.823  0.986  0.646
Er  0.823  0.660  0.646
Er  0.500  0.301  0.000
Er  0.177  0.014  0.354
Er  0.500  0.699  0.000
Tl  0.000  0.000  0.000